Here is a relaxed structure of La3TlW from the Alexandria database. Energies are from PBE.

ΔE to the lowest computed polymorph (eV per atom): 0.000
E_form (eV/atom): 0.277
SG: Pm-3m

abc: 5.564 5.564 5.564
angles: 90.00 90.00 90.00
Positions (direct):
Tl (0.500, 0.500, 0.500)
W (0.000, 0.000, 0.000)
La (0.000, 0.500, 0.000)
La (0.000, 0.000, 0.500)
La (0.500, 0.000, 0.000)



Here is a relaxed structure of LaTlW from the Alexandria database. Energies are from PBE.

ΔE to the lowest computed polymorph (eV per atom): 0.355
E_form (eV/atom): 0.997
SG: F-43m

abc: 4.924 4.924 4.924
angles: 60.00 60.00 60.00
Positions (direct):
La (0.000, 0.000, 0.000)
Tl (0.500, 0.500, 0.500)
W (0.750, 0.750, 0.750)



Here is a relaxed structure of LaTl2W from the Alexandria database. Energies are from PBE.

ΔE to the lowest computed polymorph (eV per atom): 0.172
E_form (eV/atom): 0.675
SG: R3m

abc: 11.250 11.250 11.250
angles: 16.55 16.55 16.55
Positions (direct):
La (0.758, 0.758, 0.758)
Tl (0.997, 0.997, 0.997)
Tl (0.242, 0.242, 0.242)
W (0.503, 0.503, 0.503)



Here is a relaxed structure of LaTl3W from the Alexandria database. Energies are from PBE.

E_form (eV/atom): 0.479
SG: Pm-3m

abc: 5.344 5.344 5.344
angles: 90.00 90.00 90.00
Positions (direct):
Tl (0.000, 0.500, 0.000)
Tl (0.000, 0.000, 0.500)
Tl (0.500, 0.000, 0.000)
W (0.000, 0.000, 0.000)
La (0.500, 0.500, 0.500)